# PBE+U KMo3O9, optimized geometry
data_KMo3O9
_cell_length_a 15.3116
_cell_length_b 7.8111
_cell_length_c 6.5201
_cell_angle_alpha 90.00
_cell_angle_beta 92.18
_cell_angle_gamma 90.00
_space_group_name_H-M_alt 'C 1 2/m 1'
_space_group_IT_number 12
loop_
_space_group_symop_operation_xyz
'x,y,z'
'-x,-y,-z'
'-x,y,-z'
'x,-y,z'
'x+1/2,y+1/2,z'
'-x+1/2,-y+1/2,-z'
'-x+1/2,y+1/2,-z'
'x+1/2,-y+1/2,z'
loop_
_atom_site_label
_atom_site_fract_x
_atom_site_fract_y
_atom_site_fract_z
K1 0.2015 0.0000 0.3424
Mo1 0.0562 0.2397 0.7664
Mo2 0.1185 0.5000 0.1338
O1 0.0000 0.2418 0.5000
O2 0.0366 0.0000 0.7938
O3 0.0372 0.5000 0.8063
O4 0.0799 0.2623 0.0858
O5 0.1479 0.5000 0.3927
O6 0.1637 0.2366 0.6983
O7 0.2167 0.5000 0.0105
# - energy relative to the lowest polymorph listed for this composition (eV/atom) = 0.000
# - M_tot (μB/cell) = 0.0